No. 1
## TaMn2Pt9 (GGA-PBE)

Data for TaMn2Pt9 after structural relaxation. Values from VASP.

## Properties
- Energy of formation: -6.0 eV/f.u.

Structure (Quantum ESPRESSO input):
```
&SYSTEM
  ibrav = 0, nat = 12, ntyp = 3
/
ATOMIC_SPECIES
Ta 180.95 Ta.upf
Mn 54.94 Mn.upf
Pt 195.08 Pt.upf
CELL_PARAMETERS angstrom
3.959 0.000 0.000
0.000 3.959 0.000
0.000 0.000 11.861
ATOMIC_POSITIONS angstrom
Ta 0.000 0.000 0.000
Mn 0.000 0.000 4.019
Mn 0.000 0.000 7.842
Pt 1.980 1.980 0.000
Pt 1.980 1.980 3.950
Pt 1.980 1.980 7.911
Pt 1.980 0.000 1.964
Pt 1.980 0.000 5.931
Pt 1.980 0.000 9.898
Pt 0.000 1.980 1.964
Pt 0.000 1.980 5.931
Pt 0.000 1.980 9.898
```

=====

No. 2
## CsHAu3 (GGA-PBE)

Data for CsHAu3 after structural relaxation. Values from VASP.

## Properties
- Relative energy among the computed polymorphs: 0.992 eV per atom

Structure (Quantum ESPRESSO input):
```
&SYSTEM
  ibrav = 0, nat = 5, ntyp = 3
/
ATOMIC_SPECIES
Cs 132.91 Cs.upf
H 1.01 H.upf
Au 196.97 Au.upf
CELL_PARAMETERS angstrom
6.664 0.000 0.000
0.000 6.664 0.000
0.000 0.000 6.664
ATOMIC_POSITIONS angstrom
Cs 0.000 0.000 0.000
H 3.332 3.332 3.332
Au 0.000 3.332 0.000
Au 0.000 0.000 3.332
Au 3.332 0.000 0.000
```